{"formula": "KScMo", "functional": "PBE", "state": "relaxed", "e_form_ev_per_atom": 1.144, "e_above_lowest_polymorph_mev_per_atom": 353, "e_tot_ev_per_cell": -14.83, "lattice": [[-4.215, -3.325, -0.019], [4.579, -1.457, -2.394], [0.859, -1.102, 2.315]], "species": ["K", "Mo", "Sc"], "fractional_positions": [[0.000, 0.000, 0.834], [0.667, 0.333, 0.333], [0.333, 0.667, 0.833]]}



{"formula": "La8Pr6Er", "functional": "PBE", "state": "relaxed", "e_form_ev_per_atom": 0.126, "e_tot_ev_per_cell": -70.77, "lattice": [[-8.878, -0.365, 3.574], [-2.783, -7.584, 5.143], [-1.699, 0.448, 8.658]], "species": ["La", "La", "La", "La", "La", "La", "La", "La", "Pr", "Pr", "Pr", "Pr", "Pr", "Pr", "Er"], "fractional_positions": [[0.330, 0.235, 0.523], [0.765, 0.088, 0.477], [0.088, 0.670, 0.477], [0.574, 0.574, 0.278], [0.426, 0.426, 0.722], [0.912, 0.330, 0.523], [0.235, 0.912, 0.523], [0.670, 0.765, 0.477], [0.441, 0.894, 0.923], [0.106, 0.259, 0.077], [0.259, 0.559, 0.077], [0.741, 0.441, 0.923], [0.894, 0.741, 0.923], [0.559, 0.106, 0.077], [0.000, 0.000, 0.000]]}



{"formula": "AgAuBr3", "functional": "PBE", "state": "relaxed", "e_form_raw_ev_per_atom": -0.169, "e_above_lowest_polymorph_mev_per_atom": 0, "e_tot_ev_per_cell": -23.98, "lattice": [[7.888, -0.985, -0.017], [-4.934, 7.109, -2.845], [0.885, -2.468, 6.966]], "species": ["Ag", "Ag", "Au", "Au", "Br", "Br", "Br", "Br", "Br", "Br"], "fractional_positions": [[0.626, 0.247, 0.297], [0.374, 0.753, 0.703], [0.846, 0.669, 0.149], [0.154, 0.331, 0.851], [0.525, 0.784, 0.046], [0.222, 0.143, 0.413], [0.925, 0.540, 0.745], [0.075, 0.460, 0.255], [0.475, 0.216, 0.954], [0.778, 0.857, 0.587]]}